# 1
A relaxed Nd7In3 crystal. Source: the Alexandria database, functional PBE.

Computed properties:
Volume = 31.37 Å³ per atom
ΔE_f = -3.09 eV/f.u.

a = 5.342 Å, b = 6.988 Å, c = 9.254 Å
α = 107.68°, β = 106.78°, γ = 90.00°
Fractional coordinates of all 10 atoms:
Nd: 0.371 0.598 0.742
Nd: 0.804 0.816 0.608
Nd: 0.629 0.402 0.258
Nd: 0.405 0.133 0.810
Nd: 0.000 0.500 0.000
Nd: 0.196 0.184 0.392
Nd: 0.595 0.867 0.190
In: 0.000 0.000 0.000
In: 0.195 0.701 0.390
In: 0.805 0.299 0.610

=====

# 2
A relaxed YZr2As crystal. Source: the Alexandria database, functional PBE.

Computed properties:
Volume = 23.17 Å³ per atom
ΔE_f = -1.56 eV/f.u.

a = 5.716 Å, b = 5.716 Å, c = 5.226 Å
α = 72.57°, β = 72.57°, γ = 34.87°
Fractional coordinates of all 4 atoms:
Y: 0.250 0.250 0.250
Zr: 0.039 0.039 0.958
Zr: 0.461 0.461 0.542
As: 0.750 0.750 0.750

=====

# 3
A relaxed TbNd7Tm4 crystal. Source: the Alexandria database, functional PBE.

Computed properties:
ΔE to the lowest computed polymorph = 0 meV/atom
Volume = 33.31 Å³ per atom
ΔE_f = 0.07 eV/f.u.

a = 7.273 Å, b = 9.630 Å, c = 8.956 Å
α = 81.14°, β = 89.98°, γ = 40.96°
Fractional coordinates of all 12 atoms:
Tm: 0.719 0.781 0.664
Tm: 0.531 0.723 0.333
Tm: 0.281 0.219 0.336
Tm: 0.469 0.277 0.667
Nd: 0.031 0.718 0.336
Nd: 0.753 0.501 0.002
Nd: 0.779 0.222 0.335
Nd: 0.247 0.499 0.998
Nd: 0.500 0.000 0.000
Nd: 0.221 0.778 0.665
Nd: 0.969 0.282 0.664
Tb: 0.000 0.000 0.000

=====

# 4
A relaxed Pm3Pr4Sm8 crystal. Source: the Alexandria database, functional PBE.

Computed properties:
Volume = 35.57 Å³ per atom
ΔE_f = 4.98 eV/f.u.

a = 6.930 Å, b = 9.454 Å, c = 9.454 Å
α = 87.04°, β = 111.52°, γ = 111.52°
Fractional coordinates of all 15 atoms:
Sm: 0.479 0.734 0.734
Sm: 0.000 0.270 0.270
Sm: 0.000 0.357 0.643
Sm: 0.500 0.257 0.743
Sm: 0.000 0.643 0.357
Sm: 0.500 0.743 0.257
Sm: 0.000 0.730 0.730
Sm: 0.521 0.266 0.266
Pr: 0.000 0.000 0.000
Pr: 0.000 0.500 0.000
Pr: 0.500 0.000 0.000
Pr: 0.000 0.000 0.500
Pm: 0.500 0.500 0.500
Pm: 0.500 0.000 0.500
Pm: 0.500 0.500 0.000

=====

# 5
A relaxed MnAg2Pd crystal. Source: the Alexandria database, functional PBE.

Computed properties:
Volume = 18.28 Å³ per atom
ΔE_f = 1.37 eV/f.u.

a = 7.373 Å, b = 7.373 Å, c = 5.867 Å
α = 51.07°, β = 51.07°, γ = 90.00°
Site moments in Bohr magnetons follow the coordinates.
Fractional coordinates of all 8 atoms:
Pd: 0.000 0.000 0.000  0.20
Pd: 0.750 0.250 0.500  0.20
Ag: 0.375 0.379 0.750  0.06
Ag: 0.875 0.871 0.750  0.06
Ag: 0.129 0.625 0.250  0.06
Ag: 0.621 0.125 0.250  0.06
Mn: 0.250 0.750 0.500  4.17
Mn: 0.500 0.500 0.000  4.17

=====

# 6
A relaxed CeSiIr crystal. Source: the Alexandria database, functional PBE.

Computed properties:
Volume = 19.59 Å³ per atom
Formation energy from raw total energies = -850 meV per atom

a = 4.133 Å, b = 5.888 Å, c = 5.689 Å
α = 70.82°, β = 68.70°, γ = 69.45°
Fractional coordinates of all 6 atoms:
Ce: 0.553 0.180 0.714
Ce: 0.447 0.820 0.286
Si: 0.801 0.295 0.103
Si: 0.199 0.705 0.897
Ir: 0.837 0.630 0.696
Ir: 0.163 0.370 0.304

=====

For each record above, in turn, the calculated final energy values are -4.468 -7.443 -4.652 -4.409 -4.674 -7.589 eV/atom.